VASP calculation (PBE-GGA) on a relaxed KLaMg2P crystal.

Output
formation energy from the elements = 1.25 eV/atom
D(E_F) = 4.1 states/eV/f.u.
space-group type = P4/mmm

a = 5.2660 Å, b = 5.2660 Å, c = 6.3370 Å
α = 90.00°, β = 90.00°, γ = 90.00°
Last column: nearest neighbours and their distance in Å.
Fractional positions:
1 K 0.0000 0.0000 0.0000  4 Mg 2.63
2 La 0.0000 0.0000 0.5000  2 K 3.17
3 Mg 0.0000 0.5000 0.0000  2 K 2.63
4 Mg 0.5000 0.0000 0.0000  2 K 2.63
5 P 0.5000 0.5000 0.5000  4 La 3.72, 8 Mg 4.12